1.
An optimized crystal structure of CrPb2Au2, computed with PBE.

For the energy above the most stable polymorph in this dataset, the calculation gives 0.5132 eV/atom. Its crystal system is tetragonal. The volume is 225.3 Å³ per cell. The value obtained for the density of states at the Fermi level is 6.9 states/eV/f.u. As for the spin magnetization: 0.000 μB per atom. The energy relative to the elements comes out at 337 kJ/mol of formula units.

The structure belongs to space group P4/mbm (No. 127); the cell edges are 7.458, 7.458 and 4.049 Å and the angles 90.00°, 90.00° and 90.00°. The inequivalent atoms are Cr at (0.000, 0.000, 0.000), Pb at (0.168, 0.332, 0.000) and Au at (0.138, 0.638, 0.500).


2.
An optimized crystal structure of ReNi2HgI, computed with PBE.

Its crystal system is tetragonal. The volume is 106.7 Å³ per cell. The value obtained for the density of states at the Fermi level is 2.8 states/eV/f.u. As for the formation energy without anion corrections: 1589 meV per atom. As for the spin magnetization: 0.466 μB per atom.

The structure belongs to space group P4/mmm (No. 123); the cell edges are 4.568, 4.568 and 5.114 Å and the angles 90.00°, 90.00° and 90.00°. The inequivalent atoms are Re at (0.000, 0.000, 0.000), Ni at (0.000, 0.500, 0.500), Hg at (0.500, 0.500, 0.000) and I at (0.000, 0.000, 0.500).


3.
An optimized crystal structure of Ba3ZnAs2O8, computed with PBE.

Its crystal system is trigonal. The volume is 281.1 Å³ per cell. The value obtained for the density of states at the Fermi level is 0.0 states/eV/f.u. As for the formation energy without anion corrections: -1935 meV per atom. As for the spin magnetization: 0.000 μB per atom.

The structure belongs to space group P-3m1 (No. 164); the cell edges are 5.8546, 5.8546 and 9.4680 Å and the angles 90.00°, 90.00° and 120.00°. The inequivalent atoms are Ba at (0.0000, 0.0000, 0.0000), Ba at (0.3333, 0.6667, 0.7214), Zn at (0.0000, 0.0000, 0.5000), As at (0.3333, 0.6667, 0.1675), O at (0.1738, 0.3477, 0.2305) and O at (0.3333, 0.6667, 0.9849).


4.
An optimized crystal structure of CePr2Nd3Y6, computed with PBE.

Its crystal system is monoclinic. The volume is 803.9 Å³ per cell. The value obtained for the density of states at the Fermi level is 18.4 states/eV/f.u. As for the spin magnetization: 0.093 μB per atom. The energy relative to the elements comes out at 36 kJ/mol of formula units.

The structure belongs to space group C2/m (No. 12); the cell edges are 6.298, 10.908 and 11.889 Å and the angles 90.00°, 100.16° and 90.00°. The inequivalent atoms are Ce at (0.000, 0.000, 0.000), Pr at (0.000, 0.333, 0.000), Nd at (0.000, 0.167, 0.500), Nd at (0.000, 0.500, 0.500), Y at (0.248, 0.000, 0.751) and Y at (0.248, 0.165, 0.249).


5.
An optimized crystal structure of DyY5Sn4, computed with PBE.

Its crystal system is monoclinic. The volume is 618.6 Å³ per cell. The value obtained for the density of states at the Fermi level is 10.0 states/eV/f.u. As for the spin magnetization: 0.045 μB per atom. The energy relative to the elements comes out at -419 kJ/mol of formula units.

The structure belongs to space group C2/m (No. 12); the cell edges are 17.807, 4.448 and 7.954 Å and the angles 90.00°, 100.96° and 90.00°. The inequivalent atoms are Dy at (0.000, 0.000, 0.000), Y at (0.000, 0.000, 0.500), Y at (0.140, 0.500, 0.730), Y at (0.204, 0.500, 0.307), Sn at (0.034, 0.500, 0.272) and Sn at (0.189, 0.000, 0.015).


6.
An optimized crystal structure of Ba2BiHRh, computed with PBE.

Its crystal system is tetragonal. The volume is 137.8 Å³ per cell. The value obtained for the density of states at the Fermi level is 3.7 states/eV/f.u. As for the spin magnetization: 0.029 μB per atom. Its total energy is -0.30189 Ry per atom.

The structure belongs to space group P4/mmm (No. 123); the cell edges are 6.136, 6.136 and 3.661 Å and the angles 90.00°, 90.00° and 90.00°. The inequivalent atoms are Ba at (0.000, 0.500, 0.000), Bi at (0.000, 0.000, 0.500), H at (0.500, 0.500, 0.000) and Rh at (0.500, 0.500, 0.500).


7.
An optimized crystal structure of TlInNiCl6, computed with PBE.

Its crystal system is trigonal. The volume is 260.5 Å³ per cell. As for the formation energy without anion corrections: -917 meV per atom. As for the spin magnetization: 0.220 μB per atom.

The structure belongs to space group P312 (No. 149); the cell edges are 6.4825, 6.4825 and 7.1586 Å and the angles 90.00°, 90.00° and 120.00°. The inequivalent atoms are Tl at (0.0000, 0.0000, 0.0000), In at (0.6667, 0.3333, 0.5000), Ni at (0.3333, 0.6667, 0.5000) and Cl at (0.0165, 0.3788, 0.6966).


8.
An optimized crystal structure of PmDyAlPd, computed with PBE.

For the energy above the most stable polymorph in this dataset, the calculation gives 0.0000 eV/atom. Its crystal system is orthorhombic. The volume is 195.3 Å³ per cell. The value obtained for the density of states at the Fermi level is 3.9 states/eV/f.u. As for the spin magnetization: 0.000 μB per atom. The energy relative to the elements comes out at -227 kJ/mol of formula units.

The structure belongs to space group Amm2 (No. 38); the cell edges are 4.412, 3.866 and 11.448 Å and the angles 90.00°, 90.00° and 90.00°. The inequivalent atoms are Pm at (0.000, 0.000, 0.000), Dy at (0.500, 0.000, 0.295), Al at (0.500, 0.000, 0.585) and Pd at (0.000, 0.000, 0.725).


9.
An optimized crystal structure of Mg2AsPt, computed with PBE.

Its crystal system is trigonal. The volume is 217.1 Å³ per cell. The value obtained for the density of states at the Fermi level is 2.8 states/eV/f.u. As for the spin magnetization: 0.000 μB per atom. The energy relative to the elements comes out at -141 kJ/mol of formula units.

The structure belongs to space group R-3m (No. 166, hexagonal axes); the cell edges are 3.1127, 3.1127 and 25.8742 Å and the angles 90.00°, 90.00° and 120.00°. The inequivalent atoms are Mg at (0.0000, 0.0000, 0.2443), As at (0.0000, 0.0000, 0.0000) and Pt at (0.0000, 0.0000, 0.5000).


10.
An optimized crystal structure of Ti3In4Pd, computed with PBE.

For the energy above the most stable polymorph in this dataset, the calculation gives 0.1317 eV/atom. Its crystal system is orthorhombic. The volume is 318.3 Å³ per cell. The value obtained for the density of states at the Fermi level is 8.2 states/eV/f.u. As for the spin magnetization: 0.238 μB per atom. The energy relative to the elements comes out at -75 kJ/mol of formula units.

The structure belongs to space group Pmn2_1 (No. 31); the cell edges are 9.628, 5.981 and 5.527 Å and the angles 90.00°, 90.00° and 90.00°. The inequivalent atoms are Ti at (0.000, 0.178, 0.000), Ti at (0.245, 0.626, 0.694), In at (0.000, 0.438, 0.454), In at (0.000, 0.939, 0.554), In at (0.220, 0.854, 0.191) and Pd at (0.000, 0.615, 0.945).


11.
An optimized crystal structure of WNCl2, computed with PBE.

For the energy above the most stable polymorph in this dataset, the calculation gives 1.6853 eV/atom. Its crystal system is cubic. The volume is 211.4 Å³ per cell. The value obtained for the density of states at the Fermi level is 1.9 states/eV/f.u. As for the formation energy without anion corrections: 1532 meV per atom. As for the spin magnetization: 0.000 μB per atom.

The structure belongs to space group Fm-3m (No. 225); the cell edges are 5.957, 5.957 and 5.957 Å and the angles 90.00°, 90.00° and 90.00°. The inequivalent atoms are W at (0.000, 0.000, 0.000), N at (0.000, 0.000, 0.500) and Cl at (0.250, 0.250, 0.250).


12.
An optimized crystal structure of Li2ZnCo, computed with PBE.

Its crystal system is monoclinic. The volume is 102.7 Å³ per cell. The value obtained for the density of states at the Fermi level is 1.4 states/eV/f.u. As for the spin magnetization: 0.224 μB per atom. The energy relative to the elements comes out at 7 kJ/mol of formula units.

The structure belongs to space group C2/m (No. 12); the cell edges are 9.070, 2.604 and 4.433 Å and the angles 90.00°, 101.14° and 90.00°. The inequivalent atoms are Li at (0.249, 0.000, 0.239), Zn at (0.000, 0.000, 0.500) and Co at (0.000, 0.500, 0.000).